Entry 1:
# BCl

A relaxed BCl crystal (PBE, Alexandria via LeMat-Bulk).

Geometry as CIF:
```
data_BCl
_space_group_name_H-M_alt 'P m -3 n'
_space_group_IT_number 223
_space_group_name_Hall '-P 4n 2 3'
_cell_length_a 7.0411
_cell_length_b 7.0411
_cell_length_c 7.0411
_cell_angle_alpha 90.00
_cell_angle_beta 90.00
_cell_angle_gamma 90.00
loop_
_atom_site_label
_atom_site_fract_x
_atom_site_fract_y
_atom_site_fract_z
_atom_site_occupancy
B1 0.0000 0.2500 0.5000 1
Cl1 0.0000 0.5000 0.2500 1
```

Values from the calculation:
ΔE_f (raw) = 1.60 eV per atom
Spin magnetization = 0.0 Bohr magnetons per cell
Relative energy among the computed polymorphs = 2.243 eV/atom



Entry 2:
# Tl2NiBr

A relaxed Tl2NiBr crystal (PBE, Alexandria via LeMat-Bulk).

Geometry as CIF:
```
data_Tl2NiBr
_space_group_name_H-M_alt 'F m -3 m'
_space_group_IT_number 225
_space_group_name_Hall '-F 4 2 3'
_cell_length_a 7.5575
_cell_length_b 7.5575
_cell_length_c 7.5575
_cell_angle_alpha 90.00
_cell_angle_beta 90.00
_cell_angle_gamma 90.00
loop_
_atom_site_label
_atom_site_fract_x
_atom_site_fract_y
_atom_site_fract_z
_atom_site_occupancy
Tl1 0.2500 0.2500 0.2500 1
Ni1 0.0000 0.0000 0.0000 1
Br1 0.0000 0.0000 0.5000 1
```

Values from the calculation:
ΔE_f (raw) = 0.30 eV per atom
Spin magnetization = 2.7 Bohr magnetons per cell
Relative energy among the computed polymorphs = 0.334 eV/atom